Zr2WC | PBE | relaxed

As for the space-group type: P4mm, No. 99. The density of states at the Fermi level comes out at 3.09 states/eV/f.u. The calculation puts the energy relative to the elements at 249 meV per atom. The calculation puts the size of the total moment at 0.00 μB/atom.

```
4
Lattice="2.9887 0.0000 0.0000 0.0000 2.9887 0.0000 0.0000 0.0000 7.6933" Properties=species:S:1:pos:R:3 pbc="T T T"
Zr 0.0000 0.0000 0.0000
Zr 1.4944 1.4944 2.3578
W 1.4944 1.4944 5.2991
C 0.0000 0.0000 4.9176
```



RePtAu2 | PBE | relaxed

As for the space-group type: Cmmm, No. 65. The density of states at the Fermi level comes out at 4.97 states/eV/f.u. The energy above the most stable polymorph in this dataset comes out at 259.3 meV per atom. The calculation puts the energy relative to the elements at 379 meV per atom. The calculation puts the size of the total moment at 0.00 μB/atom.

```
8
Lattice="2.8187 0.0000 0.0000 0.0000 4.8065 0.0000 0.0000 0.0000 9.8819" Properties=species:S:1:pos:R:3 pbc="T T T"
Re 0.0000 0.0000 0.0000
Re 1.4093 2.4032 0.0000
Pt 0.0000 0.0000 4.9409
Pt 1.4093 2.4032 4.9409
Au 0.0000 2.4032 2.4550
Au 0.0000 2.4032 7.4268
Au 1.4093 0.0000 2.4550
Au 1.4093 0.0000 7.4268
```



Ba3DyC2N6 | PBE | relaxed

As for the space-group type: P-3m1, No. 164. The density of states at the Fermi level comes out at 4.55 states/eV/f.u. The calculation puts the raw formation energy at -658 meV/atom. The calculation puts the size of the total moment at 0.00 μB/atom.

```
12
Lattice="5.7767 0.0000 0.0000 -2.8884 5.0028 0.0000 0.0000 0.0000 7.0071" Properties=species:S:1:pos:R:3 pbc="T T T"
Ba 0.0000 0.0000 0.0000
Ba 0.0000 3.3352 4.7912
Ba 2.8884 1.6676 2.2159
Dy 0.0000 0.0000 3.5035
C 0.0000 3.3352 2.0111
C 2.8884 1.6676 4.9960
N 0.0000 1.9571 2.0731
N -1.1935 4.0242 2.0731
N 1.6949 0.9785 4.9340
N 1.1935 4.0242 2.0731
N 4.0818 0.9785 4.9340
N 2.8884 3.0457 4.9340
```



RbTeF | PBE | relaxed

As for the space-group type: P1, No. 1. The density of states at the Fermi level comes out at 0.26 states/eV/f.u. The energy above the most stable polymorph in this dataset comes out at 0.0 meV per atom. The calculation puts the raw formation energy at -1692 meV/atom. The calculation puts the size of the total moment at 0.00 μB/atom.

```
6
Lattice="4.0430 0.0000 0.0000 -0.0265 4.0489 0.0000 -1.2100 -1.3329 11.6694" Properties=species:S:1:pos:R:3 pbc="T T T"
Rb 0.0000 0.0000 0.0000
Rb 0.8047 0.6979 8.7994
Te 1.3554 1.2972 3.9206
Te 3.4647 3.4422 4.8863
F 0.8012 0.6960 11.5854
F 2.8096 2.7176 8.8826
```



Co2AgH | PBE | relaxed

As for the space-group type: Fm-3m, No. 225. The density of states at the Fermi level comes out at 3.99 states/eV/f.u. The energy above the most stable polymorph in this dataset comes out at 806.3 meV per atom. The calculation puts the size of the total moment at 0.71 μB/atom.

```
16
Lattice="5.7491 0.0000 0.0000 0.0000 5.7491 0.0000 0.0000 0.0000 5.7491" Properties=species:S:1:pos:R:3 pbc="T T T"
Co 1.4373 1.4373 1.4373
Co 1.4373 1.4373 4.3118
Co 1.4373 4.3118 1.4373
Co 1.4373 4.3118 4.3118
Co 4.3118 1.4373 1.4373
Co 4.3118 1.4373 4.3118
Co 4.3118 4.3118 1.4373
Co 4.3118 4.3118 4.3118
Ag 0.0000 0.0000 0.0000
Ag 0.0000 2.8745 2.8745
Ag 2.8745 0.0000 2.8745
Ag 2.8745 2.8745 0.0000
H 0.0000 0.0000 2.8745
H 0.0000 2.8745 0.0000
H 2.8745 0.0000 0.0000
H 2.8745 2.8745 2.8745
```



MgAsBr | PBE | relaxed

As for the space-group type: F-43m, No. 216. The density of states at the Fermi level comes out at 4.26 states/eV/f.u. The energy above the most stable polymorph in this dataset comes out at 1013.4 meV per atom. The calculation puts the raw formation energy at 175 meV/atom. The calculation puts the size of the total moment at 0.00 μB/atom.

```
12
Lattice="6.8804 0.0000 0.0000 0.0000 6.8804 0.0000 0.0000 0.0000 6.8804" Properties=species:S:1:pos:R:3 pbc="T T T"
Mg 0.0000 0.0000 0.0000
Mg 0.0000 3.4402 3.4402
Mg 3.4402 0.0000 3.4402
Mg 3.4402 3.4402 0.0000
As 1.7201 1.7201 5.1603
As 1.7201 5.1603 1.7201
As 5.1603 1.7201 1.7201
As 5.1603 5.1603 5.1603
Br 0.0000 0.0000 3.4402
Br 0.0000 3.4402 0.0000
Br 3.4402 0.0000 0.0000
Br 3.4402 3.4402 3.4402
```



LiTb3Ho4Se8 | PBE | relaxed

As for the space-group type: R-3m, No. 166. The density of states at the Fermi level comes out at 7.42 states/eV/f.u. The calculation puts the raw formation energy at -1740 meV/atom. The calculation puts the size of the total moment at 0.00 μB/atom.

```
16
Lattice="4.0605 2.3443 6.6260 -4.0605 2.3443 6.6260 0.0000 -4.6887 6.6260" Properties=species:S:1:pos:R:3 pbc="T T T"
Li 0.0000 0.0000 0.0000
Tb -2.0302 -1.1722 6.6260
Tb -2.0302 1.1722 13.2520
Tb 0.0000 2.3443 6.6260
Ho -4.0605 0.0000 9.9390
Ho -2.0302 1.1722 3.3130
Ho 2.0302 1.1722 3.3130
Ho 0.0000 0.0000 9.9390
Se -2.0785 -1.2000 11.6106
Se 0.0000 -2.4001 8.2674
Se -2.0785 1.2000 8.2674
Se 0.0000 0.0000 4.9452
Se 0.0000 0.0000 14.9328
Se 2.0785 -1.2000 11.6106
Se 0.0000 2.4001 11.6106
Se 2.0785 1.2000 8.2674
```



LiSnAuSe | PBE | relaxed

As for the space-group type: R-3m, No. 166. The density of states at the Fermi level comes out at 0.50 states/eV/f.u. The calculation puts the raw formation energy at -512 meV/atom. The calculation puts the size of the total moment at 0.00 μB/atom.

```
8
Lattice="2.1021 1.2137 11.9995 -2.1021 1.2137 11.9995 0.0000 -2.4273 11.9995" Properties=species:S:1:pos:R:3 pbc="T T T"
Li 0.0000 0.0000 6.9050
Li 0.0000 0.0000 29.0935
Sn 0.0000 0.0000 14.3888
Sn 0.0000 0.0000 21.6097
Au 0.0000 0.0000 11.1601
Au 0.0000 0.0000 24.8384
Se 0.0000 0.0000 4.2788
Se 0.0000 0.0000 31.7197
```



KPr2RuO6 | PBE | relaxed

As for the space-group type: P2_1/c, No. 14. The calculation puts the raw formation energy at -2216 meV/atom. The calculation puts the size of the total moment at 0.30 μB/atom.

```
20
Lattice="5.6894 0.0000 0.0000 0.0000 6.2646 0.0000 -5.5513 0.0000 8.7494" Properties=species:S:1:pos:R:3 pbc="T T T"
K 0.0000 0.0000 0.0000
K -2.7756 3.1323 4.3747
Pr -2.7995 0.1746 6.2984
Pr -0.0239 2.9577 1.9237
Pr 0.1620 3.3069 6.8257
Pr 2.9376 6.0900 2.4510
Ru 0.0691 0.0000 4.3747
Ru 2.8447 3.1323 0.0000
O -1.6460 0.9411 4.2336
O -4.4216 2.1912 8.6084
O -3.5441 4.5936 7.6314
O -0.7685 4.8034 3.2566
O 0.7926 0.8594 2.7148
O -1.9830 2.2729 7.0895
O 2.1211 3.9917 1.6599
O -0.6545 5.4052 6.0347
O 0.9066 1.4613 5.4928
O 3.6822 1.6710 1.1181
O 4.5598 4.0734 0.1411
O 1.7841 5.3236 4.5158
```



CaYBr2 | PBE | relaxed

As for the space-group type: R3m, No. 160. The density of states at the Fermi level comes out at 1.43 states/eV/f.u. The energy above the most stable polymorph in this dataset comes out at 0.0 meV per atom. The calculation puts the raw formation energy at -1251 meV/atom. The calculation puts the size of the total moment at 0.25 μB/atom.

```
12
Lattice="3.9228 0.0000 0.0000 -1.9614 3.3972 0.0000 0.0000 0.0000 31.9023" Properties=species:S:1:pos:R:3 pbc="T T T"
Ca 0.0000 0.0000 0.0000
Ca 0.0000 2.2648 21.2682
Ca 1.9614 1.1324 10.6341
Y 0.0000 0.0000 7.5257
Y 0.0000 2.2648 28.7939
Y 1.9614 1.1324 18.1598
Br 0.0000 0.0000 16.3162
Br 0.0000 0.0000 23.0498
Br 0.0000 2.2648 5.6821
Br 0.0000 2.2648 12.4157
Br 1.9614 1.1324 1.7816
Br 1.9614 1.1324 26.9503
```



HoCu2Pd8 | PBE | relaxed

As for the space-group type: C2/m, No. 12. The density of states at the Fermi level comes out at 9.75 states/eV/f.u. The energy above the most stable polymorph in this dataset comes out at 0.0 meV per atom. The calculation puts the energy relative to the elements at -345 meV per atom. The calculation puts the size of the total moment at 0.00 μB/atom.

```
11
Lattice="7.0484 -2.0182 0.0000 7.0484 2.0182 0.0000 -1.8514 0.0000 6.0578" Properties=species:S:1:pos:R:3 pbc="T T T"
Ho 0.0000 0.0000 0.0000
Cu 3.1679 0.0000 2.1734
Cu 9.0777 0.0000 3.8844
Pd 0.5210 0.0000 2.8404
Pd 0.9065 0.0000 5.5635
Pd 3.5411 0.0000 4.8082
Pd 5.8437 0.0000 1.6669
Pd 6.4018 0.0000 4.3909
Pd 8.7044 0.0000 1.2496
Pd 11.3390 0.0000 0.4943
Pd 11.7245 0.0000 3.2174
```



MgOsSe2 | PBE | relaxed

As for the space-group type: R-3m, No. 166. The density of states at the Fermi level comes out at 1.68 states/eV/f.u. The calculation puts the raw formation energy at -122 meV/atom. The calculation puts the size of the total moment at 0.00 μB/atom.

```
12
Lattice="3.8853 0.0000 0.0000 -1.9427 3.3648 0.0000 0.0000 0.0000 17.3781" Properties=species:S:1:pos:R:3 pbc="T T T"
Mg 0.0000 0.0000 0.0000
Mg 0.0000 2.2432 11.5854
Mg 1.9427 1.1216 5.7927
Os 0.0000 0.0000 8.6891
Os 0.0000 2.2432 2.8964
Os 1.9427 1.1216 14.4818
Se 0.0000 0.0000 4.1215
Se 0.0000 0.0000 13.2566
Se 0.0000 2.2432 7.4638
Se 0.0000 2.2432 15.7070
Se 1.9427 1.1216 1.6711
Se 1.9427 1.1216 9.9143
```



Among the records above, which one has the highest size of the total moment? Co2AgH